1.
The following is a PBE-GGA calculation of an optimized crystal structure of Sm2TlCd16, from Alexandria.

Cell lengths 7.6942, 7.6942, 7.6942 Å; angles 83.08, 83.08, 83.08 degrees
With the nearest neighbours (Å) after each atom.
Sites, in units of the cell vectors:
1 Sm 0.0000 0.0000 0.0000  1 Tl 3.35, 12 Cd 3.50-3.63
2 Sm 0.3375 0.3375 0.3375  16 Cd 3.52-3.73
3 Tl 0.7747 0.7747 0.7747  7 Cd 2.97-3.31
4 Cd 0.0208 0.0208 0.5240  8 Cd 2.84-3.16, 1 Tl 3.16
5 Cd 0.0208 0.5240 0.0208  8 Cd 2.84-3.16, 1 Tl 3.16
6 Cd 0.1936 0.6518 0.6518  9 Cd 2.92-3.09
7 Cd 0.3045 0.3045 0.8630  8 Cd 2.84-3.16
8 Cd 0.3045 0.8630 0.3045  8 Cd 2.84-3.16
9 Cd 0.3609 0.6728 0.9769  8 Cd 2.93-3.18
10 Cd 0.3609 0.9769 0.6728  8 Cd 2.93-3.18
11 Cd 0.5240 0.0208 0.0208  8 Cd 2.84-3.16, 1 Tl 3.16
12 Cd 0.5745 0.5745 0.5745  3 Cd 2.92, 1 Tl 2.97
13 Cd 0.6518 0.1936 0.6518  9 Cd 2.92-3.09
14 Cd 0.6518 0.6518 0.1936  9 Cd 2.92-3.09
15 Cd 0.6728 0.3609 0.9769  8 Cd 2.93-3.18
16 Cd 0.6728 0.9769 0.3609  8 Cd 2.93-3.18
17 Cd 0.8630 0.3045 0.3045  8 Cd 2.84-3.16
18 Cd 0.9769 0.3609 0.6728  8 Cd 2.93-3.18
19 Cd 0.9769 0.6728 0.3609  8 Cd 2.93-3.18


2.
The following is a PBE-GGA calculation of an optimized crystal structure of ZrAlPd6, from Alexandria.

Results
Energy above the most stable polymorph in this dataset ... 1.54 eV per formula unit

Cell lengths 4.9461, 5.1536, 5.2119 Å; angles 92.54, 97.23, 92.50 degrees
With the nearest neighbours (Å) after each atom.
Sites, in units of the cell vectors:
1 Zr 0.0000 0.0000 0.0000  12 Pd 2.72-3.04
2 Al 0.5000 0.5000 0.5000  8 Pd 2.58-2.85
3 Pd 0.0189 0.4800 0.7493  6 Pd 2.60-2.90, 2 Al 2.74-2.85, 1 Zr 2.85
4 Pd 0.2573 0.9293 0.5516  1 Al 2.58, 5 Pd 2.61-2.85, 1 Zr 2.82
5 Pd 0.4714 0.7451 0.0591  5 Pd 2.61-2.90, 1 Al 2.66, 1 Zr 2.72
6 Pd 0.5286 0.2549 0.9409  5 Pd 2.61-2.90, 1 Al 2.66, 1 Zr 2.72
7 Pd 0.7427 0.0707 0.4484  1 Al 2.58, 5 Pd 2.61-2.85, 1 Zr 2.82
8 Pd 0.9811 0.5200 0.2507  6 Pd 2.60-2.90, 2 Al 2.74-2.85, 1 Zr 2.85


Mass density, record by record: 8571, 9556 kg/m3
E_form, record by record: -120.0, -542.2 meV per atom